Entry 1:
## Tb2Al3Tc (PBE)

Data for an optimized crystal structure of Tb2Al3Tc.

Lattice parameters (Å, degrees): 5.5333 5.5333 8.9305 90.00 90.00 120.00
Last column: nearest neighbours and their distance in Å.
Space group P6_3/mmc (No. 194)
Inequivalent atoms, fractional coordinates:
Tb 0.3333 0.6667 0.0519 x4  9 Al 3.16-3.28, 3 Tc 3.23, 3 Tb 3.33
Al 0.1619 0.3238 0.7500 x6  4 Al 2.69-2.85, 2 Tc 2.72
Tc 0.0000 0.0000 0.0000 x2  6 Al 2.72

Summary:
For the energy, the calculation gives -5.647 eV/atom. The size of the total moment is 0.000 μB per atom.



Entry 2:
## ScBMo (PBE)

Data for an optimized crystal structure of ScBMo.

Lattice parameters (Å, degrees): 5.9025 5.9025 5.9025 90.00 90.00 90.00
Last column: nearest neighbours and their distance in Å.
Space group F-43m (No. 216)
Inequivalent atoms, fractional coordinates:
Sc 0.0000 0.0000 0.0000 x4  4 Mo 2.56, 4 B 2.56
B 0.2500 0.2500 0.7500 x4  4 Sc 2.56
Mo 0.2500 0.2500 0.2500 x4  4 Sc 2.56

Summary:
For the energy, the calculation gives -6.358 eV/atom. The size of the total moment is 0.787 μB per atom.



Entry 3:
## ScCoSiPt (PBE)

Data for an optimized crystal structure of ScCoSiPt.

Lattice parameters (Å, degrees): 6.1388 6.1388 6.1388 90.00 90.00 90.00
Last column: nearest neighbours and their distance in Å.
Space group F-43m (No. 216)
Inequivalent atoms, fractional coordinates:
Sc 0.0000 0.0000 0.0000 x4  4 Co 2.66, 4 Pt 2.66
Co 0.2500 0.2500 0.7500 x4  4 Sc 2.66, 4 Si 2.66
Si 0.0000 0.0000 0.5000 x4  4 Co 2.66, 4 Pt 2.66
Pt 0.2500 0.2500 0.2500 x4  4 Sc 2.66, 4 Si 2.66

Summary:
For the energy, the calculation gives -6.874 eV/atom. The size of the total moment is 0.008 μB per atom.



Entry 4:
## TbHoCu2Sb4 (PBE)

Data for an optimized crystal structure of TbHoCu2Sb4.

Lattice parameters (Å, degrees): 4.3116 4.3116 9.8263 90.00 90.00 90.00
Last column: nearest neighbours and their distance in Å.
Space group P4mm (No. 99)
Inequivalent atoms, fractional coordinates:
Tb 0.0000 0.0000 0.0000 x1  8 Sb 3.17-3.28, 4 Cu 3.27
Ho 0.5000 0.5000 0.5005 x1  8 Sb 3.17-3.26, 4 Cu 3.27
Cu 0.0000 0.5000 0.2507 x2  4 Sb 2.68
Sb 0.0000 0.0000 0.4129 x1  4 Cu 2.68
Sb 0.0000 0.5000 0.7490 x2  4 Sb 3.05, 2 Ho 3.26, 2 Tb 3.28
Sb 0.5000 0.5000 0.0885 x1  4 Cu 2.68

Summary:
For the energy, the calculation gives -4.755 eV/atom. The size of the total moment is 0.000 μB per atom.



Entry 5:
## DyTmGa4Ni2 (PBE)

Data for an optimized crystal structure of DyTmGa4Ni2.

Lattice parameters (Å, degrees): 6.6621 4.1034 10.0237 90.00 90.00 90.00
Last column: nearest neighbours and their distance in Å.
Space group Amm2 (No. 38)
Inequivalent atoms, fractional coordinates:
Dy 0.0000 0.0000 0.0000 x2  3 Ni 2.83-3.00, 6 Ga 2.98-3.15
Tm 0.5000 0.0000 0.1423 x2  3 Ni 2.83-3.00, 6 Ga 2.97-3.13
Ga 0.1975 0.0000 0.7147 x4  3 Ni 2.49-2.53, 1 Ga 2.63
Ga 0.3041 0.0000 0.4264 x4  3 Ni 2.49-2.52, 1 Ga 2.61
Ni 0.0000 0.0000 0.2819 x2  6 Ga 2.49-2.53
Ni 0.5000 0.0000 0.8604 x2  6 Ga 2.49-2.52

Summary:
For the energy, the calculation gives -4.696 eV/atom. The size of the total moment is 0.001 μB per atom.



Entry 6:
## Pr3Cd2InPd2Au (PBE)

Data for an optimized crystal structure of Pr3Cd2InPd2Au.

Lattice parameters (Å, degrees): 4.1207 13.5624 7.7960 90.00 90.00 90.00
Last column: nearest neighbours and their distance in Å.
Space group Amm2 (No. 38)
Inequivalent atoms, fractional coordinates:
Pr 0.0000 0.0000 0.0000 x2  4 Pd 3.13, 1 Au 3.19, 2 In 3.33, 4 Cd 3.48
Pr 0.0000 0.2050 0.3880 x4  4 Pd 3.13-3.16, 1 Au 3.20, 4 Cd 3.31-3.46, 2 In 3.48
Cd 0.5000 0.1298 0.7202 x4  2 Au 2.89, 2 Pd 2.96
In 0.5000 0.0000 0.3359 x2  2 Au 2.86, 2 Pd 2.92
Pd 0.5000 0.1644 0.0950 x4  1 In 2.92, 2 Cd 2.96, 6 Pr 3.13-3.16
Au 0.0000 0.0000 0.5908 x2  2 In 2.86, 4 Cd 2.89, 3 Pr 3.19-3.20

Summary:
For the energy, the calculation gives -4.297 eV/atom. The size of the total moment is 0.000 μB per atom.



Entry 7:
## SiMo4N3 (PBE)

Data for an optimized crystal structure of SiMo4N3.

Lattice parameters (Å, degrees): 3.1039 3.1039 22.0456 90.00 90.00 120.00
Last column: nearest neighbours and their distance in Å.
Space group P6_3/mmc (No. 194)
Inequivalent atoms, fractional coordinates:
Si 0.3333 0.6667 0.2500 x2  6 Mo 2.58
Mo 0.0000 0.0000 0.1656 x4  3 N 2.18
Mo 0.3333 0.6667 0.0506 x4  6 N 2.11-2.22
N 0.0000 0.0000 0.0000 x2  6 Mo 2.11
N 0.3333 0.6667 0.6097 x4  6 Mo 2.18-2.22

Summary:
For the energy, the calculation gives -9.250 eV/atom. The size of the total moment is 0.000 μB per atom.



Entry 8:
## HfSiMo (PBE)

Data for an optimized crystal structure of HfSiMo.

Lattice parameters (Å, degrees): 6.6251 6.6251 4.0758 90.00 90.00 120.00
Last column: nearest neighbours and their distance in Å.
Space group P-62m (No. 189)
Inequivalent atoms, fractional coordinates:
Hf 0.0000 0.5381 0.0000 x3  5 Mo 2.81-3.06, 2 Si 2.84
Si 0.0000 0.2402 0.5000 x3  4 Mo 2.57-2.59, 2 Si 2.76, 2 Hf 2.84
Mo 0.0000 0.0000 0.0000 x1  6 Si 2.59
Mo 0.3333 0.6667 0.5000 x2  3 Si 2.57, 6 Hf 2.81

Summary:
For the energy, the calculation gives -8.821 eV/atom. The size of the total moment is 0.000 μB per atom.



Entry 9:
## DyEr2Tm2Lu2Ni2Te2 (PBE)

Data for an optimized crystal structure of DyEr2Tm2Lu2Ni2Te2.

Lattice parameters (Å, degrees): 3.8289 15.3925 9.4761 90.00 90.00 90.00
Last column: nearest neighbours and their distance in Å.
Space group Imm2 (No. 44)
Inequivalent atoms, fractional coordinates:
Dy 0.0000 0.0000 0.0000 x2  3 Te 3.18-3.21
Er 0.0000 0.3146 0.3760 x4  2 Ni 2.76
Tm 0.0000 0.3535 0.7291 x4  2 Ni 2.81, 2 Te 3.14
Lu 0.0000 0.1346 0.5818 x4  2 Ni 2.76
Ni 0.0000 0.2365 0.0689 x4  2 Lu 2.76, 2 Er 2.76, 2 Tm 2.81
Te 0.0000 0.0000 0.3392 x2  2 Lu 3.10, 4 Tm 3.14, 1 Dy 3.21
Te 0.0000 0.5000 0.2320 x2  4 Lu 3.16, 2 Er 3.16, 2 Dy 3.18

Summary:
For the energy, the calculation gives -5.147 eV/atom. The size of the total moment is 0.001 μB per atom.



Entry 10:
## Y3Tm3Te2Pt (PBE)

Data for an optimized crystal structure of Y3Tm3Te2Pt.

Lattice parameters (Å, degrees): 8.3805 8.3805 3.9281 90.00 90.00 120.00
Last column: nearest neighbours and their distance in Å.
Space group P-62m (No. 189)
Inequivalent atoms, fractional coordinates:
Y 0.0000 0.7510 0.0000 x3  2 Pt 2.87, 2 Te 3.21
Tm 0.0000 0.3982 0.5000 x3  4 Te 3.23, 1 Pt 3.34, 6 Y 3.52-3.55
Te 0.3333 0.6667 0.0000 x2  3 Y 3.21, 6 Tm 3.23
Pt 0.0000 0.0000 0.5000 x1  6 Y 2.87

Summary:
For the energy, the calculation gives -5.882 eV/atom. The size of the total moment is 0.084 μB per atom.



Entry 11:
## ZnMo (PBE)

Data for an optimized crystal structure of ZnMo.

Lattice parameters (Å, degrees): 4.5068 2.6991 4.9185 90.00 90.00 90.00
Last column: nearest neighbours and their distance in Å.
Space group Pmma (No. 51)
Inequivalent atoms, fractional coordinates:
Zn 0.2500 0.0000 0.1414 x2  4 Zn 2.65-2.70, 8 Mo 2.80-2.84
Mo 0.2500 0.5000 0.6404 x2  4 Mo 2.64-2.70, 8 Zn 2.80-2.84

Summary:
The calculation puts the formation energy at 0.14 eV per atom. For the energy, the calculation gives -5.919 eV/atom. The size of the total moment is 0.001 μB per atom.



Entry 12:
## NaYNbIr (PBE)

Data for an optimized crystal structure of NaYNbIr.

Lattice parameters (Å, degrees): 6.7844 6.7844 6.7844 90.00 90.00 90.00
Last column: nearest neighbours and their distance in Å.
Space group F-43m (No. 216)
Inequivalent atoms, fractional coordinates:
Na 0.0000 0.0000 0.0000 x4  4 Nb 2.94, 4 Y 2.94
Y 0.2500 0.2500 0.7500 x4  4 Na 2.94, 4 Ir 2.94
Nb 0.2500 0.2500 0.2500 x4  4 Ir 2.94, 4 Na 2.94
Ir 0.0000 0.0000 0.5000 x4  4 Y 2.94, 4 Nb 2.94

Summary:
For the energy, the calculation gives -6.564 eV/atom. The size of the total moment is 0.000 μB per atom.



Entry 13:
## Cs2YAgBr6 (PBE)

Data for an optimized crystal structure of Cs2YAgBr6.

Lattice parameters (Å, degrees): 11.3279 11.3279 11.3279 90.00 90.00 90.00
Last column: nearest neighbours and their distance in Å.
Space group Fm-3m (No. 225)
Inequivalent atoms, fractional coordinates:
Cs 0.2500 0.2500 0.2500 x8  12 Br 4.01
Y 0.0000 0.0000 0.0000 x4  6 Br 2.80
Ag 0.0000 0.0000 0.5000 x4  6 Br 2.86
Br 0.0000 0.0000 0.2473 x24  1 Y 2.80, 1 Ag 2.86

Summary:
For the energy, the calculation gives -3.678 eV/atom. The size of the total moment is 0.000 μB per atom.



Entry 14:
## Dy2Er2O5 (PBE)

Data for an optimized crystal structure of Dy2Er2O5.

Lattice parameters (Å, degrees): 3.8605 3.8605 9.3886 90.00 90.00 90.00
Last column: nearest neighbours and their distance in Å.
Space group P4/mmm (No. 123)
Inequivalent atoms, fractional coordinates:
Dy 0.0000 0.0000 0.0000 x1  8 O 2.37
Dy 0.0000 0.0000 0.5000 x1  4 O 2.73
Er 0.5000 0.5000 0.2428 x2  4 O 2.13
O 0.0000 0.5000 0.1459 x4  2 Er 2.13, 2 Dy 2.37
O 0.5000 0.5000 0.5000 x1  2 Er 2.41

Summary:
For the energy, the calculation gives -7.709 eV/atom. The size of the total moment is 0.148 μB per atom.



Entry 15:
## FeAgOsAu (PBE)

Data for an optimized crystal structure of FeAgOsAu.

Lattice parameters (Å, degrees): 6.3070 6.3070 6.3070 90.00 90.00 90.00
Last column: nearest neighbours and their distance in Å.
Space group F-43m (No. 216)
Inequivalent atoms, fractional coordinates:
Fe 0.0000 0.0000 0.0000 x4  4 Ag 2.73, 4 Os 2.73
Ag 0.2500 0.2500 0.7500 x4  4 Fe 2.73, 4 Au 2.73
Os 0.2500 0.2500 0.2500 x4  4 Fe 2.73, 4 Au 2.73
Au 0.0000 0.0000 0.5000 x4  4 Os 2.73, 4 Ag 2.73

Summary:
The calculation puts the formation energy at 0.63 eV per atom. For the energy, the calculation gives -5.778 eV/atom. The size of the total moment is 0.978 μB per atom.



Entry 16:
## SrCdAg (PBE)

Data for an optimized crystal structure of SrCdAg.

Lattice parameters (Å, degrees): 7.4432 7.4432 7.4432 90.00 90.00 90.00
Last column: nearest neighbours and their distance in Å.
Space group F-43m (No. 216)
Inequivalent atoms, fractional coordinates:
Sr 0.0000 0.0000 0.0000 x4  4 Ag 3.22, 4 Cd 3.22
Cd 0.2500 0.2500 0.2500 x4  4 Sr 3.22
Ag 0.2500 0.2500 0.7500 x4  4 Sr 3.22

Summary:
For the energy, the calculation gives -1.718 eV/atom.



Entry 17:
## GdNiSnH2 (PBE)

Data for an optimized crystal structure of GdNiSnH2.

Lattice parameters (Å, degrees): 4.3311 4.3311 8.2527 90.00 90.00 120.00
Last column: nearest neighbours and their distance in Å.
Space group P6_3/mmc (No. 194)
Inequivalent atoms, fractional coordinates:
Gd 0.0000 0.0000 0.0000 x2  6 H 2.54
Ni 0.3333 0.6667 0.2500 x2  2 H 1.60
Sn 0.3333 0.6667 0.7500 x2  3 Ni 2.50, 2 H 2.52
H 0.3333 0.6667 0.0556 x4  1 Ni 1.60

Summary:
For the energy, the calculation gives -4.713 eV/atom. The size of the total moment is 0.000 μB per atom.



Entry 18:
## KDyCl3 (PBE)

Data for an optimized crystal structure of KDyCl3.

Lattice parameters (Å, degrees): 7.2899 7.4956 10.6527 90.00 90.00 90.00
Last column: nearest neighbours and their distance in Å.
Space group Ibam (No. 72)
Inequivalent atoms, fractional coordinates:
K 0.0000 0.0000 0.2500 x4  8 Cl 3.37-3.75
Dy 0.0000 0.5000 0.0000 x4  6 Cl 2.66-2.67
Cl 0.0000 0.5000 0.2500 x4  2 Dy 2.66
Cl 0.1963 0.1991 0.0000 x8  2 Dy 2.67

Summary:
For the energy, the calculation gives -4.079 eV/atom. The size of the total moment is 0.001 μB per atom.



Entry 19:
## KGdPt (PBE)

Data for an optimized crystal structure of KGdPt.

Lattice parameters (Å, degrees): 7.0857 7.0857 7.0857 90.00 90.00 90.00
Last column: nearest neighbours and their distance in Å.
Space group F-43m (No. 216)
Inequivalent atoms, fractional coordinates:
K 0.0000 0.0000 0.0000 x4  4 Pt 3.07
Gd 0.0000 0.0000 0.5000 x4  4 Pt 3.07
Pt 0.2500 0.2500 0.7500 x4  4 Gd 3.07, 4 K 3.07

Summary:
For the energy, the calculation gives -4.143 eV/atom. The size of the total moment is 0.001 μB per atom.



Entry 20:
## Ta2Zn2FeNiIr2 (PBE)

Data for an optimized crystal structure of Ta2Zn2FeNiIr2.

Lattice parameters (Å, degrees): 4.3220 4.3220 6.1191 90.00 90.00 90.00
Last column: nearest neighbours and their distance in Å.
Space group P-4m2 (No. 115)
Inequivalent atoms, fractional coordinates:
Ta 0.0000 0.5000 0.2478 x2  4 Ir 2.64-2.66, 2 Fe 2.64, 2 Ni 2.66
Zn 0.0000 0.5000 0.7497 x2  2 Ni 2.65, 4 Ir 2.65, 2 Fe 2.65
Fe 0.0000 0.0000 0.0000 x1  4 Ta 2.64, 4 Zn 2.65
Ni 0.5000 0.5000 0.5000 x1  4 Zn 2.65, 4 Ta 2.66
Ir 0.0000 0.0000 0.5000 x1  4 Zn 2.65, 4 Ta 2.66
Ir 0.5000 0.5000 0.0000 x1  4 Ta 2.64, 4 Zn 2.65

Summary:
The calculation puts the formation energy at -0.37 eV per atom. For the energy, the calculation gives -7.598 eV/atom. The size of the total moment is 0.046 μB per atom.